[1]
Here is a PBEsol-optimized structure of Ba2SbIr from Alexandria via LeMat-Bulk. Energies are from SCAN.

Values from the calculation:
DFT total energy: -188.3 eV/f.u.
Total magnetization: 0.00 μB per formula unit
Formation energy from raw total energies: -0.2146 eV per atom

a = 3.625 Å, b = 4.446 Å, c = 7.307 Å
α = 90.00°, β = 90.02°, γ = 90.00°
Sites, in units of the cell vectors:
Ir  0.500  0.500  0.000
Sb  0.500  0.500  0.500
Ba  0.000  0.000  0.228
Ba  0.000  0.000  0.772

---

[2]
Here is a PBEsol-optimized structure of TaBPd2S from Alexandria via LeMat-Bulk. Energies are from SCAN.

Values from the calculation:
DFT total energy: -146.6 eV/f.u.
Total magnetization: 0.00 μB per formula unit
Formation energy from raw total energies: 0.5152 eV per atom

a = 3.977 Å, b = 3.977 Å, c = 4.567 Å
α = 90.00°, β = 90.00°, γ = 90.00°
Sites, in units of the cell vectors:
S  0.000  0.000  0.500
Pd  0.500  0.000  0.000
Pd  0.000  0.500  0.000
B  0.000  0.000  0.000
Ta  0.500  0.500  0.500

---

[3]
Here is a PBEsol-optimized structure of CuPS2 from Alexandria via LeMat-Bulk. Energies are from SCAN.

Values from the calculation:
DFT total energy: -43.7 eV/f.u.
Total magnetization: 0.00 μB per formula unit
Formation energy from raw total energies: 0.2784 eV per atom

a = 3.457 Å, b = 3.457 Å, c = 7.036 Å
α = 75.78°, β = 75.78°, γ = 60.00°
Sites, in units of the cell vectors:
S  0.895  0.895  0.315
S  0.105  0.105  0.685
P  0.000  0.000  0.000
Cu  0.500  0.500  0.500